RbZn4As3, optimized geometry, DFT GGA-PBEsol; formation energy = -264 meV/atom
1.0
4.121 0.000 0.000
0.000 4.121 0.000
0.000 0.000 10.248
Rb Zn As
1 4 3
Cartesian
0.000 0.000 0.000
0.000 2.060 3.497
0.000 2.060 6.752
2.060 0.000 3.497
2.060 0.000 6.752
0.000 0.000 5.124
2.060 2.060 2.104
2.060 2.060 8.144